[1]
SrLi2Se | PBE-GGA | relaxed

POSCAR file:
```
SrLi2Se
1.0
8.7311 0.0000 0.0000
0.0000 8.7311 0.0000
4.3655 4.3655 3.0507
Se Li Sr
2 4 2
direct
0.5000 0.5000 0.0000
0.2500 0.7500 0.5000
0.5125 0.1250 0.2500
0.2375 0.6250 0.2500
0.8750 0.7625 0.7500
0.3750 0.4875 0.7500
0.0000 0.0000 0.0000
0.7500 0.2500 0.5000
```

Results
Its energy is -2.94 eV per atom. Its size of the total moment is 0.0 Bohr magnetons per cell. As for the density: 2.58 g cm⁻³. As for the space-group type: No. 122.



[2]
SrLi2Se | PBE-GGA | relaxed

POSCAR file:
```
SrLi2Se
1.0
-2.6952 2.5156 -2.3372
-2.4392 0.6886 3.5540
3.0920 4.4783 1.2545
Li Sr Se
2 1 1
direct
0.5000 0.5000 0.0000
0.0000 0.0000 0.0000
0.0000 0.5000 0.5000
0.5000 0.0000 0.5000
```

Results
Its energy is -3.00 eV per atom. Its size of the total moment is 0.0 Bohr magnetons per cell. As for the density: 2.82 g cm⁻³. As for the space-group type: No. 123.



[3]
SrLiSe | PBE-GGA | relaxed

POSCAR file:
```
SrLiSe
1.0
5.1137 0.0000 0.0000
2.5569 4.4286 0.0000
2.5569 1.4762 4.1753
Li Se Sr
1 1 1
direct
0.0000 0.0000 0.0000
0.5000 0.5000 0.5000
0.7500 0.7500 0.7500
```

Results
Its energy is -3.02 eV per atom. Its size of the total moment is 0.0 Bohr magnetons per cell. As for the density: 3.05 g cm⁻³. As for the space-group type: No. 216.



[4]
Sr2LiSe2 | PBE-GGA | relaxed

POSCAR file:
```
Sr2LiSe2
1.0
-1.5907 -2.5398 -5.2804
-0.4669 -5.3992 2.7376
-6.5087 -2.9157 -0.1275
Sr Se Li
2 2 1
direct
0.2500 0.7500 0.5000
0.7500 0.2500 0.5000
0.2150 0.2150 0.5699
0.7850 0.7850 0.4301
0.0000 0.0000 0.0000
```

Results
Its energy is -3.79 eV per atom. Its size of the total moment is 0.0 Bohr magnetons per cell. As for the density: 2.69 g cm⁻³. As for the space-group type: No. 139.



[5]
Sr4LiTb3Se8 | PBE-GGA | relaxed

POSCAR file:
```
Sr4LiTb3Se8
1.0
8.4716 0.0000 0.0000
0.0000 8.5384 0.0412
-4.2358 -4.2317 5.9949
Se Sr Tb Li
8 4 3 1
direct
0.2575 0.2719 0.0147
0.7438 0.7313 0.4875
0.7425 0.7281 0.9853
0.7572 0.2718 0.5144
0.2428 0.7282 0.4856
0.7572 0.2719 0.0147
0.2562 0.2687 0.5125
0.2428 0.7281 0.9853
0.0000 0.0000 0.0000
0.0000 0.0000 0.5000
0.5000 0.0000 0.5000
0.5000 0.0000 0.0000
0.5000 0.5000 0.0000
0.0000 0.5000 0.5000
0.5000 0.5000 0.5000
0.0000 0.5000 0.0000
```

Results
Its energy is -5.03 eV per atom. Its size of the total moment is 0.0 Bohr magnetons per cell. As for the density: 5.59 g cm⁻³. As for the space-group type: No. 166.



[6]
Sr3LiTb2Se6 | PBE-GGA | relaxed

POSCAR file:
```
Sr3LiTb2Se6
1.0
7.3507 0.0000 0.0013
-3.6736 6.3670 0.0013
-1.2255 -2.1220 6.9877
Sr Tb Se Li
3 2 6 1
direct
0.8347 0.1653 0.5000
0.5000 0.5000 0.5000
0.1653 0.8347 0.5000
0.3331 0.6669 0.0000
0.6669 0.3331 0.0000
0.7413 0.7413 0.2273
0.9236 0.5889 0.7713
0.2587 0.2587 0.7727
0.0764 0.4111 0.2287
0.4111 0.0764 0.2287
0.5889 0.9236 0.7713
0.0000 0.0000 0.0000
```

Results
Its energy is -4.96 eV per atom. Its size of the total moment is 0.0 Bohr magnetons per cell. As for the density: 5.39 g cm⁻³. As for the space-group type: No. 12.



[7]
SrLiTb2Se4 | PBE-GGA | relaxed

POSCAR file:
```
SrLiTb2Se4
1.0
-2.9013 -2.9211 -0.4846
5.7487 -2.1512 -3.7199
4.9427 -6.8316 11.5889
Se Sr Tb Li
8 2 4 2
direct
0.2706 0.5413 0.3821
0.0000 0.0000 0.5000
0.0000 0.0000 0.0000
0.7294 0.4587 0.6179
0.2706 0.5413 0.1179
0.7294 0.4587 0.8821
0.4475 0.8950 0.7500
0.5525 0.1050 0.2500
0.1184 0.2368 0.7500
0.8816 0.7632 0.2500
0.6282 0.2564 0.0575
0.3718 0.7436 0.9425
0.6282 0.2564 0.4425
0.3718 0.7436 0.5575
0.1517 0.3035 0.2500
0.8483 0.6965 0.7500
```

Results
Its energy is -5.14 eV per atom. Its size of the total moment is 0.0 Bohr magnetons per cell. As for the density: 5.92 g cm⁻³. As for the space-group type: No. 63.



[8]
SrLiTbSe3 | PBE-GGA | relaxed

POSCAR file:
```
SrLiTbSe3
1.0
4.1734 0.0000 0.0000
0.0000 8.6763 0.0960
0.0000 -2.1914 8.7894
Li Se Sr Tb
2 6 2 2
direct
0.2500 0.0853 0.5870
0.7500 0.9147 0.4130
0.7500 0.8907 0.1312
0.2500 0.7850 0.4881
0.2500 0.5621 0.8338
0.7500 0.4379 0.1662
0.2500 0.1093 0.8688
0.7500 0.2150 0.5119
0.2500 0.1873 0.2361
0.7500 0.8127 0.7639
0.7500 0.3306 0.8347
0.2500 0.6694 0.1653
```

Results
Its energy is -4.90 eV per atom. Its size of the total moment is 0.0 Bohr magnetons per cell. As for the density: 5.10 g cm⁻³. As for the space-group type: No. 11.



[9]
SrLi2ThSe4 | PBE-GGA | relaxed

POSCAR file:
```
SrLi2ThSe4
1.0
4.2955 0.0000 0.0000
0.0000 6.9371 -0.0211
0.0000 2.5686 6.9632
Sr Th Se Li
1 1 4 2
direct
0.5000 0.5000 0.0000
0.0000 0.5000 0.5000
0.0000 0.7601 0.7307
0.0000 0.2400 0.2693
0.5000 0.7589 0.2630
0.5000 0.2411 0.7370
0.0000 0.0000 0.0000
0.5000 0.0000 0.5000
```

Results
Its energy is -4.97 eV per atom. Its size of the total moment is 0.0 Bohr magnetons per cell. As for the density: 5.19 g cm⁻³. As for the space-group type: No. 10.



[10]
Sr2LiTlSe | PBE-GGA | relaxed

POSCAR file:
```
Sr2LiTlSe
1.0
-1.0137 5.6205 -1.9025
-4.6559 -1.9500 -3.2798
-2.8863 0.7212 3.6685
Tl Sr Li Se
1 2 1 1
direct
0.5000 0.5000 0.5000
0.0000 0.5000 0.0000
0.5000 0.0000 0.0000
0.0000 0.0000 0.5000
0.0000 0.0000 0.0000
```

Results
Its energy is -3.05 eV per atom. Its size of the total moment is 0.0 Bohr magnetons per cell. As for the density: 4.52 g cm⁻³. As for the space-group type: No. 123.



[11]
Sr3LiTm3Se8 | PBE-GGA | relaxed

POSCAR file:
```
Sr3LiTm3Se8
1.0
8.2910 0.0000 0.0000
-4.1455 7.1794 -0.0250
0.0000 -4.7610 7.0611
Se Li Sr Tm
8 1 3 3
direct
0.2429 0.4859 0.7209
0.7571 0.5141 0.2791
0.2578 0.5157 0.2735
0.7422 0.4843 0.7265
0.7348 0.9779 0.7211
0.7569 0.0221 0.2789
0.2652 0.0221 0.2789
0.2431 0.9779 0.7211
0.0000 0.0000 0.5000
0.5000 0.5000 0.0000
0.0000 0.0000 0.0000
0.0000 0.5000 0.0000
0.5000 0.0000 0.5000
0.5000 0.5000 0.5000
0.0000 0.5000 0.5000
```

Results
Its energy is -5.03 eV per atom. Its size of the total moment is 0.0 Bohr magnetons per cell. As for the density: 5.58 g cm⁻³. As for the space-group type: No. 166.



[12]
Sr3LiTm2Se6 | PBE-GGA | relaxed

POSCAR file:
```
Sr3LiTm2Se6
1.0
7.2881 -0.0001 0.0016
-3.6423 6.3126 0.0016
-1.2147 -2.1032 6.9429
Sr Se Li Tm
3 6 1 2
direct
0.5000 0.5000 0.5000
0.8353 0.1647 0.5000
0.1647 0.8353 0.5000
0.9250 0.5882 0.7754
0.0750 0.4118 0.2246
0.4118 0.0750 0.2246
0.5882 0.9250 0.7754
0.2622 0.2622 0.7775
0.7378 0.7378 0.2225
0.0000 0.0000 0.0000
0.3329 0.6671 0.0000
0.6671 0.3329 0.0000
```

Results
Its energy is -4.91 eV per atom. Its size of the total moment is 0.0 Bohr magnetons per cell. As for the density: 5.62 g cm⁻³. As for the space-group type: No. 12.



[13]
Sr2LiTmSe4 | PBE-GGA | relaxed

POSCAR file:
```
Sr2LiTmSe4
1.0
4.2500 0.0000 0.0000
0.0000 7.3138 0.1729
0.0000 -2.5113 6.8578
Tm Sr Se Li
1 2 4 1
direct
0.0000 0.0000 0.0000
0.5000 0.0000 0.5000
0.0000 0.5000 0.5000
0.5000 0.2393 0.2226
0.0000 0.7497 0.2264
0.0000 0.2503 0.7736
0.5000 0.7607 0.7774
0.5000 0.5000 0.0000
```

Results
Its energy is -4.78 eV per atom. Its size of the total moment is 0.0 Bohr magnetons per cell. As for the density: 5.15 g cm⁻³. As for the space-group type: No. 10.